# 1
# Dy3Al2Ag4 | the Alexandria database | GGA-PBE | optimized geometry
# - ΔE_f: -3.10 eV per formula unit
# - Space-group type: C2/m, No. 12
data_Dy3Al2Ag4
_chemical_formula_sum 'Dy3 Al2 Ag4'
_cell_length_a 5.871
_cell_length_b 5.871
_cell_length_c 8.796
_cell_angle_alpha 113.87
_cell_angle_beta 113.87
_cell_angle_gamma 46.51
_space_group_name_H-M_alt 'P 1'
_space_group_IT_number 1
loop_
_space_group_symop_operation_xyz
'x,y,z'
loop_
_atom_site_label
_atom_site_type_symbol
_atom_site_fract_x
_atom_site_fract_y
_atom_site_fract_z
Dy1 Dy 0.000 0.000 0.000
Dy2 Dy 0.348 0.348 0.320
Dy3 Dy 0.652 0.652 0.680
Al1 Al 0.363 0.363 0.693
Al2 Al 0.637 0.637 0.307
Ag1 Ag 0.082 0.082 0.407
Ag2 Ag 0.286 0.286 0.938
Ag3 Ag 0.714 0.714 0.062
Ag4 Ag 0.918 0.918 0.593

***

# 2
# Dy4AlAg | the Alexandria database | GGA-PBE | optimized geometry
# - ΔE_f: -1.20 eV per formula unit
# - Space-group type: Cm, No. 8
data_Dy4AlAg
_chemical_formula_sum 'Dy4 Al1 Ag1'
_cell_length_a 6.310
_cell_length_b 6.310
_cell_length_c 8.791
_cell_angle_alpha 120.85
_cell_angle_beta 120.85
_cell_angle_gamma 32.83
_space_group_name_H-M_alt 'P 1'
_space_group_IT_number 1
loop_
_space_group_symop_operation_xyz
'x,y,z'
loop_
_atom_site_label
_atom_site_type_symbol
_atom_site_fract_x
_atom_site_fract_y
_atom_site_fract_z
Dy1 Dy 0.000 0.000 0.000
Dy2 Dy 0.248 0.248 0.600
Dy3 Dy 0.553 0.553 0.701
Dy4 Dy 0.816 0.816 0.305
Al1 Al 0.274 0.274 0.981
Ag1 Ag 0.530 0.530 0.307

***

# 3
# Dy2Al2Ag3 | the Alexandria database | GGA-PBE | optimized geometry
# - ΔE_f: -2.01 eV per formula unit
# - Space-group type: Cmcm, No. 63
data_Dy2Al2Ag3
_chemical_formula_sum 'Dy4 Al4 Ag6'
_cell_length_a 9.985
_cell_length_b 9.985
_cell_length_c 7.269
_cell_angle_alpha 90.00
_cell_angle_beta 90.00
_cell_angle_gamma 155.39
_space_group_name_H-M_alt 'P 1'
_space_group_IT_number 1
loop_
_space_group_symop_operation_xyz
'x,y,z'
loop_
_atom_site_label
_atom_site_type_symbol
_atom_site_fract_x
_atom_site_fract_y
_atom_site_fract_z
Dy1 Dy 0.057 0.943 0.750
Dy2 Dy 0.153 0.847 0.250
Dy3 Dy 0.847 0.153 0.750
Dy4 Dy 0.943 0.057 0.250
Al1 Al 0.307 0.693 0.057
Al2 Al 0.307 0.693 0.443
Al3 Al 0.693 0.307 0.557
Al4 Al 0.693 0.307 0.943
Ag1 Ag 0.226 0.774 0.750
Ag2 Ag 0.435 0.565 0.558
Ag3 Ag 0.435 0.565 0.942
Ag4 Ag 0.565 0.435 0.058
Ag5 Ag 0.565 0.435 0.442
Ag6 Ag 0.774 0.226 0.250

***

# 4
# Dy2AlAg2 | the Alexandria database | GGA-PBE | optimized geometry
# - ΔE_f: -1.47 eV per formula unit
# - Space-group type: P4/mbm, No. 127
data_Dy2AlAg2
_chemical_formula_sum 'Dy4 Al2 Ag4'
_cell_length_a 7.473
_cell_length_b 7.473
_cell_length_c 4.147
_cell_angle_alpha 90.00
_cell_angle_beta 90.00
_cell_angle_gamma 90.00
_space_group_name_H-M_alt 'P 1'
_space_group_IT_number 1
loop_
_space_group_symop_operation_xyz
'x,y,z'
loop_
_atom_site_label
_atom_site_type_symbol
_atom_site_fract_x
_atom_site_fract_y
_atom_site_fract_z
Dy1 Dy 0.174 0.326 0.000
Dy2 Dy 0.326 0.826 0.000
Dy3 Dy 0.674 0.174 0.000
Dy4 Dy 0.826 0.674 0.000
Al1 Al 0.000 0.000 0.500
Al2 Al 0.500 0.500 0.500
Ag1 Ag 0.132 0.632 0.500
Ag2 Ag 0.368 0.132 0.500
Ag3 Ag 0.632 0.868 0.500
Ag4 Ag 0.868 0.368 0.500

***

# 5
# Dy2Al9Ag6 | the Alexandria database | GGA-PBE | optimized geometry
# - ΔE_f: -2.65 eV per formula unit
# - Space-group type: P6/mmm, No. 191
data_Dy2Al9Ag6
_chemical_formula_sum 'Dy2 Al9 Ag6'
_cell_length_a 5.457
_cell_length_b 5.457
_cell_length_c 13.260
_cell_angle_alpha 90.00
_cell_angle_beta 90.00
_cell_angle_gamma 120.00
_space_group_name_H-M_alt 'P 1'
_space_group_IT_number 1
loop_
_space_group_symop_operation_xyz
'x,y,z'
loop_
_atom_site_label
_atom_site_type_symbol
_atom_site_fract_x
_atom_site_fract_y
_atom_site_fract_z
Dy1 Dy 0.000 0.000 0.165
Dy2 Dy 0.000 0.000 0.835
Al1 Al 0.000 0.500 0.000
Al2 Al 0.000 0.500 0.335
Al3 Al 0.000 0.500 0.665
Al4 Al 0.500 0.000 0.000
Al5 Al 0.500 0.000 0.335
Al6 Al 0.500 0.000 0.665
Al7 Al 0.500 0.500 0.000
Al8 Al 0.500 0.500 0.335
Al9 Al 0.500 0.500 0.665
Ag1 Ag 0.333 0.667 0.166
Ag2 Ag 0.333 0.667 0.500
Ag3 Ag 0.333 0.667 0.834
Ag4 Ag 0.667 0.333 0.166
Ag5 Ag 0.667 0.333 0.500
Ag6 Ag 0.667 0.333 0.834

***

# 6
# DyAl2Ag6 | the Alexandria database | GGA-PBE | optimized geometry
# - ΔE_f: 2.33 eV per formula unit
# - Space-group type: Fd-3m, No. 227
data_DyAl2Ag6
_chemical_formula_sum 'Dy2 Al4 Ag12'
_cell_length_a 8.359
_cell_length_b 8.359
_cell_length_c 8.359
_cell_angle_alpha 60.00
_cell_angle_beta 60.00
_cell_angle_gamma 60.00
_space_group_name_H-M_alt 'P 1'
_space_group_IT_number 1
loop_
_space_group_symop_operation_xyz
'x,y,z'
loop_
_atom_site_label
_atom_site_type_symbol
_atom_site_fract_x
_atom_site_fract_y
_atom_site_fract_z
Dy1 Dy 0.125 0.125 0.125
Dy2 Dy 0.875 0.875 0.875
Al1 Al 0.000 0.500 0.500
Al2 Al 0.500 0.000 0.500
Al3 Al 0.500 0.500 0.000
Al4 Al 0.500 0.500 0.500
Ag1 Ag 0.124 0.124 0.626
Ag2 Ag 0.124 0.626 0.124
Ag3 Ag 0.124 0.626 0.626
Ag4 Ag 0.374 0.374 0.876
Ag5 Ag 0.374 0.876 0.374
Ag6 Ag 0.374 0.876 0.876
Ag7 Ag 0.626 0.124 0.124
Ag8 Ag 0.626 0.124 0.626
Ag9 Ag 0.626 0.626 0.124
Ag10 Ag 0.876 0.374 0.374
Ag11 Ag 0.876 0.374 0.876
Ag12 Ag 0.876 0.876 0.374

***

# 7
# DyAl6Ag6 | the Alexandria database | GGA-PBE | optimized geometry
# - ΔE_f: -2.35 eV per formula unit
# - Space-group type: Immm, No. 71
data_DyAl6Ag6
_chemical_formula_sum 'Dy1 Al6 Ag6'
_cell_length_a 7.080
_cell_length_b 7.080
_cell_length_c 7.080
_cell_angle_alpha 135.26
_cell_angle_beta 100.04
_cell_angle_gamma 96.63
_space_group_name_H-M_alt 'P 1'
_space_group_IT_number 1
loop_
_space_group_symop_operation_xyz
'x,y,z'
loop_
_atom_site_label
_atom_site_type_symbol
_atom_site_fract_x
_atom_site_fract_y
_atom_site_fract_z
Dy1 Dy 0.000 0.000 0.000
Al1 Al 0.000 0.000 0.500
Al2 Al 0.000 0.500 0.000
Al3 Al 0.230 0.500 0.730
Al4 Al 0.500 0.000 0.000
Al5 Al 0.500 0.500 0.500
Al6 Al 0.770 0.500 0.270
Ag1 Ag 0.193 0.693 0.500
Ag2 Ag 0.339 0.000 0.339
Ag3 Ag 0.345 0.345 0.000
Ag4 Ag 0.655 0.655 0.000
Ag5 Ag 0.661 0.000 0.661
Ag6 Ag 0.807 0.307 0.500

***

# 8
# DyAl7Ag5 | the Alexandria database | GGA-PBE | optimized geometry
# - ΔE_f: -2.24 eV per formula unit
# - Space-group type: Imm2, No. 44
data_DyAl7Ag5
_chemical_formula_sum 'Dy1 Al7 Ag5'
_cell_length_a 7.054
_cell_length_b 7.054
_cell_length_c 7.054
_cell_angle_alpha 133.83
_cell_angle_beta 97.40
_cell_angle_gamma 100.29
_space_group_name_H-M_alt 'P 1'
_space_group_IT_number 1
loop_
_space_group_symop_operation_xyz
'x,y,z'
loop_
_atom_site_label
_atom_site_type_symbol
_atom_site_fract_x
_atom_site_fract_y
_atom_site_fract_z
Dy1 Dy 0.000 0.000 0.000
Al1 Al 0.216 0.509 0.707
Al2 Al 0.351 0.351 0.000
Al3 Al 0.351 0.999 0.352
Al4 Al 0.645 0.645 0.000
Al5 Al 0.647 0.999 0.648
Al6 Al 0.782 0.282 0.500
Al7 Al 0.801 0.509 0.293
Ag1 Ag 0.220 0.720 0.500
Ag2 Ag 0.516 0.008 0.011
Ag3 Ag 0.516 0.506 0.509
Ag4 Ag 0.997 0.008 0.491
Ag5 Ag 0.997 0.506 0.989

***

# 9
# DyAl4Ag6 | the Alexandria database | GGA-PBE | optimized geometry
# - ΔE_f: -1.79 eV per formula unit
# - Space-group type: P-6m2, No. 187
data_DyAl4Ag6
_chemical_formula_sum 'Dy1 Al4 Ag6'
_cell_length_a 7.429
_cell_length_b 7.429
_cell_length_c 4.281
_cell_angle_alpha 90.00
_cell_angle_beta 90.00
_cell_angle_gamma 120.00
_space_group_name_H-M_alt 'P 1'
_space_group_IT_number 1
loop_
_space_group_symop_operation_xyz
'x,y,z'
loop_
_atom_site_label
_atom_site_type_symbol
_atom_site_fract_x
_atom_site_fract_y
_atom_site_fract_z
Dy1 Dy 0.000 0.000 0.000
Al1 Al 0.333 0.667 0.000
Al2 Al 0.397 0.199 0.500
Al3 Al 0.801 0.199 0.500
Al4 Al 0.801 0.603 0.500
Ag1 Ag 0.201 0.402 0.500
Ag2 Ag 0.201 0.799 0.500
Ag3 Ag 0.536 0.071 0.000
Ag4 Ag 0.536 0.464 0.000
Ag5 Ag 0.598 0.799 0.500
Ag6 Ag 0.929 0.464 0.000

***

# 10
# DyErAlAg | the Alexandria database | GGA-PBE | optimized geometry
# - ΔE_f: -1.38 eV per formula unit
# - Space-group type: F-43m, No. 216
data_DyErAlAg
_chemical_formula_sum 'Dy1 Er1 Al1 Ag1'
_cell_length_a 5.131
_cell_length_b 5.131
_cell_length_c 5.131
_cell_angle_alpha 60.00
_cell_angle_beta 60.00
_cell_angle_gamma 60.00
_space_group_name_H-M_alt 'P 1'
_space_group_IT_number 1
loop_
_space_group_symop_operation_xyz
'x,y,z'
loop_
_atom_site_label
_atom_site_type_symbol
_atom_site_fract_x
_atom_site_fract_y
_atom_site_fract_z
Dy1 Dy 0.000 0.000 0.000
Er1 Er 0.500 0.500 0.500
Al1 Al 0.250 0.250 0.250
Ag1 Ag 0.750 0.750 0.750

***

# 11
# DyErAlAg | the Alexandria database | GGA-PBE | optimized geometry
# - ΔE_f: -1.46 eV per formula unit
# - Space-group type: P4mm, No. 99
data_DyErAlAg
_chemical_formula_sum 'Dy1 Er1 Al1 Ag1'
_cell_length_a 3.536
_cell_length_b 3.536
_cell_length_c 7.521
_cell_angle_alpha 90.00
_cell_angle_beta 90.00
_cell_angle_gamma 90.00
_space_group_name_H-M_alt 'P 1'
_space_group_IT_number 1
loop_
_space_group_symop_operation_xyz
'x,y,z'
loop_
_atom_site_label
_atom_site_type_symbol
_atom_site_fract_x
_atom_site_fract_y
_atom_site_fract_z
Dy1 Dy 0.000 0.000 0.000
Er1 Er 0.000 0.000 0.499
Al1 Al 0.500 0.500 0.747
Ag1 Ag 0.500 0.500 0.257

***

# 12
# DyAl2Ga2Ag | the Alexandria database | GGA-PBE | optimized geometry
# - ΔE_f: -1.84 eV per formula unit
# - Space-group type: P-3m1, No. 164
data_DyAl2Ga2Ag
_chemical_formula_sum 'Dy1 Al2 Ga2 Ag1'
_cell_length_a 4.433
_cell_length_b 4.433
_cell_length_c 6.646
_cell_angle_alpha 90.00
_cell_angle_beta 90.00
_cell_angle_gamma 120.00
_space_group_name_H-M_alt 'P 1'
_space_group_IT_number 1
loop_
_space_group_symop_operation_xyz
'x,y,z'
loop_
_atom_site_label
_atom_site_type_symbol
_atom_site_fract_x
_atom_site_fract_y
_atom_site_fract_z
Dy1 Dy 0.000 0.000 0.000
Al1 Al 0.333 0.667 0.307
Al2 Al 0.667 0.333 0.693
Ga1 Ga 0.333 0.667 0.759
Ga2 Ga 0.667 0.333 0.241
Ag1 Ag 0.000 0.000 0.500